Computed, not measured: crystalline TlGePdSe2 at its relaxed geometry at the GGA-PBE level of DFT.

Cell: 5.188 5.188 4.777 Å, 90.00 90.00 90.00°
Positions (direct):
Tl1 0.000 0.000 0.000
Ge1 0.500 0.500 0.500
Pd1 0.500 0.500 0.000
Se1 0.000 0.500 0.500
Se2 0.500 0.000 0.500

Summary:
V in Å³ per atom: 25.72
Energy relative to the elements, uncorrected in eV per atom: 0.087
Symmetry: P4/mmm

***

Computed, not measured: crystalline Tl2GePdSe4 at its relaxed geometry at the GGA-PBE level of DFT.

Cell: 12.545 11.676 6.789 Å, 80.91 66.79 32.30°
Positions (direct):
Tl1 0.070 0.070 0.680
Tl2 0.320 0.320 0.930
Tl3 0.680 0.680 0.070
Tl4 0.930 0.930 0.320
Ge1 0.375 0.375 0.375
Ge2 0.625 0.625 0.625
Pd1 0.125 0.125 0.125
Pd2 0.875 0.875 0.875
Se1 0.008 0.374 0.394
Se2 0.276 0.606 0.626
Se3 0.374 0.008 0.724
Se4 0.394 0.724 0.008
Se5 0.606 0.276 0.992
Se6 0.626 0.992 0.276
Se7 0.724 0.394 0.374
Se8 0.992 0.626 0.606

Summary:
V in Å³ per atom: 28.52
Energy relative to the elements, uncorrected in eV per atom: -0.235
Symmetry: Fddd

***

Computed, not measured: crystalline YGePd2Se at its relaxed geometry at the GGA-PBE level of DFT.

Cell: 5.002 5.002 5.570 Å, 90.00 90.00 90.00°
Positions (direct):
Y1 0.000 0.000 0.000
Ge1 0.000 0.000 0.500
Pd1 0.000 0.500 0.000
Pd2 0.500 0.000 0.000
Se1 0.500 0.500 0.500

Summary:
V in Å³ per atom: 27.87
Energy relative to the elements, uncorrected in eV per atom: 0.718
Symmetry: P4/mmm